DFT (GGA-PBE) results for a geometry-optimized VMo structure.

Properties
Total moment, μB/cell: 0.00
Calculated volume, Å³ per cell: 30.31
E_tot, eV per atom: -9.633
Crystal system: hexagonal

abc: 2.7058 2.7058 4.7806
angles: 90.00 90.00 120.00
Space group P-6m2 (No. 187)
Asymmetric unit:
1 V 0.0000 0.0000 0.0000
2 Mo 0.3333 0.6667 0.5000